Density functional theory data (GGA+U) for a geometry-optimized Mg3Tl2VF12 structure.

Values from the calculation:
Density of states at the Fermi level in states/eV/cell: 0.00
Crystal system: trigonal
Total DFT energy (no corrections) in eV/atom: -5.126

abc: 7.451 7.451 7.451
angles: 58.62 58.62 58.62
Fractional positions:
Tl (0.596, 0.596, 0.596)
Tl (0.404, 0.404, 0.404)
F (0.926, 0.321, 0.321)
F (0.066, 0.066, 0.696)
F (0.321, 0.926, 0.321)
F (0.934, 0.934, 0.304)
F (0.934, 0.304, 0.934)
F (0.066, 0.696, 0.066)
F (0.679, 0.074, 0.679)
F (0.679, 0.679, 0.074)
F (0.074, 0.679, 0.679)
F (0.321, 0.321, 0.926)
F (0.696, 0.066, 0.066)
F (0.304, 0.934, 0.934)
V (0.000, 0.000, 0.000)
Mg (0.500, 0.000, 0.000)
Mg (0.000, 0.500, 0.000)
Mg (0.000, 0.000, 0.500)